No. 1
# LuTcGe2, optimized geometry, DFT GGA-PBE
# **DFT total energy**: -5.9699 eV per atom
# **Total magnetization**: 0.000 μB per atom
data_LuTcGe2
_chemical_formula_sum 'Lu4 Tc4 Ge8'
_cell_length_a 6.6041
_cell_length_b 6.6041
_cell_length_c 6.6041
_cell_angle_alpha 90.00
_cell_angle_beta 90.00
_cell_angle_gamma 90.00
_space_group_name_H-M_alt 'F -4 3 m'
_space_group_IT_number 216
_space_group_name_Hall 'F -4 2 3'
loop_
_atom_site_label
_atom_site_type_symbol
_atom_site_fract_x
_atom_site_fract_y
_atom_site_fract_z
_atom_site_occupancy
Lu1 Lu 0.0000 0.0000 0.0000 1
Tc1 Tc 0.2500 0.2500 0.7500 1
Ge1 Ge 0.0000 0.0000 0.5000 1
Ge2 Ge 0.2500 0.2500 0.2500 1


No. 2
# LuGeTe, optimized geometry, DFT GGA-PBE
# **DFT total energy**: -4.2203 eV per atom
# **Total magnetization**: 0.000 μB per atom
data_LuGeTe
_chemical_formula_sum 'Lu4 Ge4 Te4'
_cell_length_a 6.9982
_cell_length_b 6.9982
_cell_length_c 6.9982
_cell_angle_alpha 90.00
_cell_angle_beta 90.00
_cell_angle_gamma 90.00
_space_group_name_H-M_alt 'F -4 3 m'
_space_group_IT_number 216
_space_group_name_Hall 'F -4 2 3'
loop_
_atom_site_label
_atom_site_type_symbol
_atom_site_fract_x
_atom_site_fract_y
_atom_site_fract_z
_atom_site_occupancy
Lu1 Lu 0.0000 0.0000 0.0000 1
Ge1 Ge 0.0000 0.0000 0.5000 1
Te1 Te 0.2500 0.2500 0.7500 1


No. 3
# LuTlGeTe3, optimized geometry, DFT GGA-PBE
# **DFT total energy**: -4.0658 eV per atom
# **Relative energy among the computed polymorphs**: 0.1076 eV per atom
# **Total magnetization**: 0.001 μB per atom
data_LuTlGeTe3
_chemical_formula_sum 'Lu4 Tl4 Ge4 Te12'
_cell_length_a 4.5633
_cell_length_b 15.1605
_cell_length_c 11.5946
_cell_angle_alpha 90.00
_cell_angle_beta 90.00
_cell_angle_gamma 90.00
_space_group_name_H-M_alt 'C m c m'
_space_group_IT_number 63
_space_group_name_Hall '-C 2c 2'
loop_
_atom_site_label
_atom_site_type_symbol
_atom_site_fract_x
_atom_site_fract_y
_atom_site_fract_z
_atom_site_occupancy
Lu1 Lu 0.0000 0.0000 0.0000 1
Tl1 Tl 0.0000 0.2496 0.2500 1
Ge1 Ge 0.0000 0.4646 0.7500 1
Te1 Te 0.0000 0.0775 0.7500 1
Te2 Te 0.0000 0.3650 0.5431 1


No. 4
# LuTlGeTe3, optimized geometry, DFT GGA-PBE
# **DFT total energy**: -4.1361 eV per atom
# **Relative energy among the computed polymorphs**: 0.0373 eV per atom
# **Total magnetization**: 0.001 μB per atom
data_LuTlGeTe3
_chemical_formula_sum 'Lu4 Tl4 Ge4 Te12'
_cell_length_a 14.9564
_cell_length_b 4.2097
_cell_length_c 13.1618
_cell_angle_alpha 90.00
_cell_angle_beta 90.00
_cell_angle_gamma 90.00
_space_group_name_H-M_alt 'P n m a'
_space_group_IT_number 62
loop_
_space_group_symop_operation_xyz
'x,y,z'
'-x,-y,-z'
'-x+1/2,-y,z+1/2'
'x+1/2,y,-z+1/2'
'x+1/2,-y+1/2,-z+1/2'
'-x+1/2,y+1/2,z+1/2'
'-x,y+1/2,-z'
'x,-y+1/2,z'
loop_
_atom_site_label
_atom_site_type_symbol
_atom_site_fract_x
_atom_site_fract_y
_atom_site_fract_z
_atom_site_occupancy
Lu1 Lu 0.0155 0.2500 0.1507 1
Tl1 Tl 0.2282 0.2500 0.4486 1
Ge1 Ge 0.0083 0.7500 0.3974 1
Te1 Te 0.1058 0.2500 0.9419 1
Te2 Te 0.1059 0.7500 0.6673 1
Te3 Te 0.1374 0.7500 0.2424 1


No. 5
# LuTlGeTe3, optimized geometry, DFT GGA-PBE
# **DFT total energy**: -4.1734 eV per atom
# **Relative energy among the computed polymorphs**: 0.0000 eV per atom
# **Total magnetization**: 0.000 μB per atom
data_LuTlGeTe3
_chemical_formula_sum 'Lu2 Tl2 Ge2 Te6'
_cell_length_a 8.9435
_cell_length_b 4.2272
_cell_length_c 11.4644
_cell_angle_alpha 90.00
_cell_angle_beta 107.85
_cell_angle_gamma 90.00
_space_group_name_H-M_alt 'P 1 21/m 1'
_space_group_IT_number 11
loop_
_space_group_symop_operation_xyz
'x,y,z'
'-x,-y,-z'
'-x,y+1/2,-z'
'x,-y+1/2,z'
loop_
_atom_site_label
_atom_site_type_symbol
_atom_site_fract_x
_atom_site_fract_y
_atom_site_fract_z
_atom_site_occupancy
Lu1 Lu 0.1366 0.2500 0.1599 1
Tl1 Tl 0.2638 0.7500 0.7182 1
Ge1 Ge 0.3778 0.7500 0.4471 1
Te1 Te 0.1181 0.2500 0.8920 1
Te2 Te 0.1601 0.2500 0.4318 1
Te3 Te 0.3933 0.7500 0.2143 1


No. 6
# LuTlGe2, optimized geometry, DFT GGA-PBE
# **DFT total energy**: -4.0077 eV per atom
# **Total magnetization**: 0.001 μB per atom
data_LuTlGe2
_chemical_formula_sum 'Lu4 Tl4 Ge8'
_cell_length_a 7.1939
_cell_length_b 7.1939
_cell_length_c 7.1939
_cell_angle_alpha 90.00
_cell_angle_beta 90.00
_cell_angle_gamma 90.00
_space_group_name_H-M_alt 'F -4 3 m'
_space_group_IT_number 216
_space_group_name_Hall 'F -4 2 3'
loop_
_atom_site_label
_atom_site_type_symbol
_atom_site_fract_x
_atom_site_fract_y
_atom_site_fract_z
_atom_site_occupancy
Lu1 Lu 0.0000 0.0000 0.0000 1
Tl1 Tl 0.2500 0.2500 0.7500 1
Ge1 Ge 0.0000 0.0000 0.5000 1
Ge2 Ge 0.2500 0.2500 0.2500 1


No. 7
# LuTlGe, optimized geometry, DFT GGA-PBE
# **DFT total energy**: -3.6893 eV per atom
# **Total magnetization**: 0.000 μB per atom
data_LuTlGe
_chemical_formula_sum 'Lu4 Tl4 Ge4'
_cell_length_a 6.9535
_cell_length_b 6.9535
_cell_length_c 6.9535
_cell_angle_alpha 90.00
_cell_angle_beta 90.00
_cell_angle_gamma 90.00
_space_group_name_H-M_alt 'F -4 3 m'
_space_group_IT_number 216
_space_group_name_Hall 'F -4 2 3'
loop_
_atom_site_label
_atom_site_type_symbol
_atom_site_fract_x
_atom_site_fract_y
_atom_site_fract_z
_atom_site_occupancy
Lu1 Lu 0.0000 0.0000 0.0000 1
Tl1 Tl 0.2500 0.2500 0.7500 1
Ge1 Ge 0.0000 0.0000 0.5000 1


No. 8
# TmLuGe, optimized geometry, DFT GGA-PBE
# **DFT total energy**: -5.0292 eV per atom
# **Total magnetization**: 0.002 μB per atom
data_TmLuGe
_chemical_formula_sum 'Tm4 Lu4 Ge4'
_cell_length_a 6.7640
_cell_length_b 6.7640
_cell_length_c 6.7640
_cell_angle_alpha 90.00
_cell_angle_beta 90.00
_cell_angle_gamma 90.00
_space_group_name_H-M_alt 'F -4 3 m'
_space_group_IT_number 216
_space_group_name_Hall 'F -4 2 3'
loop_
_atom_site_label
_atom_site_type_symbol
_atom_site_fract_x
_atom_site_fract_y
_atom_site_fract_z
_atom_site_occupancy
Tm1 Tm 0.0000 0.0000 0.0000 1
Lu1 Lu 0.0000 0.0000 0.5000 1
Ge1 Ge 0.2500 0.2500 0.7500 1


No. 9
# TmLuGe4, optimized geometry, DFT GGA-PBE
# **DFT total energy**: -5.1616 eV per atom
# **Total magnetization**: 0.001 μB per atom
data_TmLuGe4
_chemical_formula_sum 'Tm2 Lu2 Ge8'
_cell_length_a 3.8920
_cell_length_b 4.0117
_cell_length_c 15.8107
_cell_angle_alpha 90.00
_cell_angle_beta 90.00
_cell_angle_gamma 90.00
_space_group_name_H-M_alt 'A m m 2'
_space_group_IT_number 38
loop_
_space_group_symop_operation_xyz
'x,y,z'
'-x,-y,z'
'-x,y,z'
'x,-y,z'
'x,y+1/2,z+1/2'
'-x,-y+1/2,z+1/2'
'-x,y+1/2,z+1/2'
'x,-y+1/2,z+1/2'
loop_
_atom_site_label
_atom_site_type_symbol
_atom_site_fract_x
_atom_site_fract_y
_atom_site_fract_z
_atom_site_occupancy
Tm1 Tm 0.0000 0.0000 0.0000 1
Lu1 Lu 0.5000 0.0000 0.2070 1
Ge1 Ge 0.0000 0.0000 0.3560 1
Ge2 Ge 0.0000 0.0000 0.6571 1
Ge3 Ge 0.5000 0.0000 0.5501 1
Ge4 Ge 0.5000 0.0000 0.8506 1


No. 10
# LuUGe, optimized geometry, DFT GGA-PBE
# **DFT total energy**: -6.6607 eV per atom
# **Relative energy among the computed polymorphs**: 0.0000 eV per atom
# **Total magnetization**: 1.230 μB per atom
data_LuUGe
_chemical_formula_sum 'Lu4 U4 Ge4'
_cell_length_a 6.8275
_cell_length_b 6.8275
_cell_length_c 6.8275
_cell_angle_alpha 90.00
_cell_angle_beta 90.00
_cell_angle_gamma 90.00
_space_group_name_H-M_alt 'F -4 3 m'
_space_group_IT_number 216
_space_group_name_Hall 'F -4 2 3'
loop_
_atom_site_label
_atom_site_type_symbol
_atom_site_fract_x
_atom_site_fract_y
_atom_site_fract_z
_atom_site_occupancy
Lu1 Lu 0.0000 0.0000 0.0000 1
U1 U 0.0000 0.0000 0.5000 1
Ge1 Ge 0.2500 0.2500 0.2500 1


No. 11
# LuGeW, optimized geometry, DFT GGA-PBE
# **DFT total energy**: -7.1090 eV per atom
# **Total magnetization**: 0.112 μB per atom
data_LuGeW
_chemical_formula_sum 'Lu4 Ge4 W4'
_cell_length_a 6.2790
_cell_length_b 6.2790
_cell_length_c 6.2790
_cell_angle_alpha 90.00
_cell_angle_beta 90.00
_cell_angle_gamma 90.00
_space_group_name_H-M_alt 'F -4 3 m'
_space_group_IT_number 216
_space_group_name_Hall 'F -4 2 3'
loop_
_atom_site_label
_atom_site_type_symbol
_atom_site_fract_x
_atom_site_fract_y
_atom_site_fract_z
_atom_site_occupancy
Lu1 Lu 0.0000 0.0000 0.0000 1
Ge1 Ge 0.2500 0.2500 0.2500 1
W1 W 0.0000 0.0000 0.5000 1


No. 12
# LuGe2W, optimized geometry, DFT GGA-PBE
# **DFT total energy**: -6.2312 eV per atom
# **Total magnetization**: 0.055 μB per atom
data_LuGe2W
_chemical_formula_sum 'Lu4 Ge8 W4'
_cell_length_a 6.6703
_cell_length_b 6.6703
_cell_length_c 6.6703
_cell_angle_alpha 90.00
_cell_angle_beta 90.00
_cell_angle_gamma 90.00
_space_group_name_H-M_alt 'F -4 3 m'
_space_group_IT_number 216
_space_group_name_Hall 'F -4 2 3'
loop_
_atom_site_label
_atom_site_type_symbol
_atom_site_fract_x
_atom_site_fract_y
_atom_site_fract_z
_atom_site_occupancy
Lu1 Lu 0.0000 0.0000 0.0000 1
Ge1 Ge 0.0000 0.0000 0.5000 1
Ge2 Ge 0.2500 0.2500 0.2500 1
W1 W 0.2500 0.2500 0.7500 1